No. 1
## HgBMoSe2 (PBE-GGA)

Data for HgBMoSe2 after structural relaxation.

a b c (Å): 5.2614 5.2614 5.4031
angles (deg): 90.00 90.00 90.00
Closest atoms and distances in Å follow each position.
Fractional coordinates of all 5 atoms:
Hg 0.0000 0.0000 0.0000  4 Se 2.63, 2 Mo 2.70
B 0.5000 0.5000 0.5000  4 Mo 3.72, 8 Se 3.77
Mo 0.0000 0.0000 0.5000  2 Hg 2.70
Se 0.0000 0.5000 0.0000  2 Hg 2.63
Se 0.5000 0.0000 0.0000  2 Hg 2.63

Calculated values
V ... 150 Å³/cell
VASP energy ... -14.018 eV/cell
D(E_F) ... 3.6 states/eV/cell


No. 2
## YHgB2Mo (PBE-GGA)

Data for YHgB2Mo after structural relaxation.

a b c (Å): 4.4019 4.4019 5.3966
angles (deg): 90.00 90.00 90.00
Closest atoms and distances in Å follow each position.
Fractional coordinates of all 5 atoms:
Y 0.0000 0.0000 0.0000  4 B 2.20
Hg 0.0000 0.0000 0.5000  2 Y 2.70
B 0.0000 0.5000 0.0000  2 Y 2.20
B 0.5000 0.0000 0.0000  2 Y 2.20
Mo 0.5000 0.5000 0.5000  4 Hg 3.11, 8 B 3.48

Calculated values
ΔE_f ... 2.32 eV per atom
V ... 105 Å³/cell
D(E_F) ... 5.2 states/eV/cell


Copy entry 2 word for word.
## YHgB2Mo (PBE-GGA)

Data for YHgB2Mo after structural relaxation.

a b c (Å): 4.4019 4.4019 5.3966
angles (deg): 90.00 90.00 90.00
Closest atoms and distances in Å follow each position.
Fractional coordinates of all 5 atoms:
Y 0.0000 0.0000 0.0000  4 B 2.20
Hg 0.0000 0.0000 0.5000  2 Y 2.70
B 0.0000 0.5000 0.0000  2 Y 2.20
B 0.5000 0.0000 0.0000  2 Y 2.20
Mo 0.5000 0.5000 0.5000  4 Hg 3.11, 8 B 3.48

Calculated values
ΔE_f ... 2.32 eV per atom
V ... 105 Å³/cell
D(E_F) ... 5.2 states/eV/cell


- The lowest D(E_F) belongs to which entry?
  HgBMoSe2